(1)
! PmSbP2O8, relaxed, DFT GGA-PBE; values from VASP
&SYSTEM
  ibrav = 0, nat = 12, ntyp = 4
/
ATOMIC_SPECIES
Pm 145.00 Pm.upf
Sb 121.76 Sb.upf
P 30.97 P.upf
O 16.00 O.upf
ATOMIC_POSITIONS angstrom
Pm 0.000 0.000 0.000
Sb 0.000 0.000 3.633
P 0.000 3.030 1.459
P 2.624 1.515 5.808
O 0.000 1.558 1.967
O -1.275 3.767 1.967
O 0.000 3.030 7.196
O 1.349 0.779 5.300
O 1.275 3.767 1.967
O 2.624 1.515 0.071
O 3.900 0.779 5.300
O 2.624 2.988 5.300
CELL_PARAMETERS angstrom
5.249 0.000 0.000
-2.624 4.545 0.000
0.000 0.000 7.267
! raw formation energy = -2.299 eV/atom
! DFT total energy = -0.53251 Ry per atom



(2)
! TaTl2Os, relaxed, DFT GGA-PBE; values from VASP
&SYSTEM
  ibrav = 0, nat = 4, ntyp = 3
/
ATOMIC_SPECIES
Ta 180.95 Ta.upf
Tl 204.38 Tl.upf
Os 190.23 Os.upf
ATOMIC_POSITIONS angstrom
Ta 0.000 0.000 0.000
Tl 0.000 0.000 6.875
Tl 0.000 0.000 21.075
Os 0.000 0.000 13.975
CELL_PARAMETERS angstrom
1.556 0.899 9.317
-1.556 0.899 9.317
0.000 -1.797 9.317
! DFT total energy = -0.44500 Ry per atom
! E above lowest polymorph = 13.84 kcal/mol of atoms
! energy of formation from the pure elements = 0.899 eV per atom